(1)
# PBE GeBiTeO6, optimized geometry
# Uncorrected formation energy: -1208.2 meV/atom
data_GeBiTeO6
_cell_length_a 5.2929
_cell_length_b 5.2929
_cell_length_c 10.1031
_cell_angle_alpha 90.00
_cell_angle_beta 90.00
_cell_angle_gamma 120.00
_space_group_name_H-M_alt 'P -3 1 c'
_space_group_IT_number 163
_space_group_name_Hall '-P 3 2c'
loop_
_atom_site_label
_atom_site_type_symbol
_atom_site_fract_x
_atom_site_fract_y
_atom_site_fract_z
Ge1 Ge 0.3333 0.6667 0.2500
Bi1 Bi 0.0000 0.0000 0.0000
Te1 Te 0.3333 0.6667 0.7500
O1 O 0.0196 0.3785 0.1415

(2)
# PBE PrNdAgGe, optimized geometry
# Energy relative to the elements: -197 kJ/mol of formula units
data_PrNdAgGe
_cell_length_a 7.455
_cell_length_b 7.455
_cell_length_c 7.455
_cell_angle_alpha 90.00
_cell_angle_beta 90.00
_cell_angle_gamma 90.00
_space_group_name_H-M_alt 'F -4 3 m'
_space_group_IT_number 216
_space_group_name_Hall 'F -4 2 3'
loop_
_atom_site_label
_atom_site_type_symbol
_atom_site_fract_x
_atom_site_fract_y
_atom_site_fract_z
Pr1 Pr 0.000 0.000 0.000
Nd1 Nd 0.000 0.000 0.500
Ag1 Ag 0.250 0.250 0.250
Ge1 Ge 0.250 0.250 0.750

| no. | DOS at the Fermi energy (states/eV per cell) |
| --- | --- |
| 1 | 8.0 |
| 2 | 16.6 |